Here is a relaxed Sm2MgIn3 crystal from the Alexandria database. Energies are from PBE-GGA.

Structure (POSCAR):
```
Sm2MgIn3
1.0
-1.781 -2.947 5.143
3.717 -3.804 -3.165
5.873 6.567 3.209
In Mg Sm
6 2 4
Cartesian
5.507 -1.259 3.775
4.325 2.865 5.548
3.483 -3.050 -0.361
0.759 -2.626 3.754
2.302 1.074 1.413
7.049 2.441 1.433
3.257 -2.308 2.394
4.551 2.123 2.793
2.530 0.122 4.670
1.455 -5.077 1.487
0.480 -1.675 0.491
5.279 -0.307 0.517
```

Calculated values
* energy of formation from the pure elements: -0.432 eV/atom

=====

Here is a relaxed LiPr2Ho crystal from the Alexandria database. Energies are from PBE-GGA.

Structure (POSCAR):
```
LiPr2Ho
1.0
3.566 0.000 0.000
-1.783 3.088 0.000
0.000 0.000 11.968
Pr Li Ho
2 1 1
Cartesian
1.783 1.029 2.981
0.000 2.059 9.141
1.783 1.029 6.272
0.000 0.000 0.097
```

Calculated values
* ΔE to the lowest computed polymorph: 52 meV per atom
* energy of formation from the pure elements: 0.114 eV/atom

=====

Here is a relaxed AcPmPa2O8 crystal from the Alexandria database. Energies are from PBE-GGA.

Structure (POSCAR):
```
AcPmPa2O8
1.0
5.594 0.000 0.000
0.000 5.594 0.000
-2.797 -2.797 5.479
Pa O Ac Pm
2 8 1 1
Cartesian
0.000 2.797 2.740
2.797 2.797 0.000
-1.263 1.428 4.140
1.263 -1.428 4.140
4.228 1.535 1.346
1.262 1.430 4.133
-1.262 -1.430 4.133
1.367 4.059 1.346
1.370 1.534 1.340
4.225 4.060 1.340
2.797 0.000 2.740
0.000 0.000 0.000
```

Calculated values
* VASP energy: -9.256 eV per atom

=====

Here is a relaxed K2InRu crystal from the Alexandria database. Energies are from PBE-GGA.

Structure (POSCAR):
```
K2InRu
1.0
3.195 0.000 0.000
0.000 5.693 0.000
0.000 0.000 5.877
In K Ru
1 2 1
Cartesian
1.597 2.846 4.408
0.000 0.000 0.053
0.000 0.000 2.886
1.597 2.846 1.469
```

Calculated values
* energy of formation from the pure elements: 0.799 eV/atom

=====

Here is a relaxed CsHgPtCl6 crystal from the Alexandria database. Energies are from PBE-GGA.

Structure (POSCAR):
```
CsHgPtCl6
1.0
6.688 -0.253 -0.101
3.128 5.911 0.106
-0.116 0.211 7.705
Cs Cl Hg Pt
1 6 1 1
Cartesian
-0.071 0.238 7.705
1.271 2.114 2.538
4.112 0.063 2.220
4.223 3.637 2.530
5.142 2.041 5.182
1.989 3.731 5.490
2.346 0.247 5.167
6.642 3.966 3.856
3.216 1.992 3.854
```

Calculated values
* VASP energy: -2.844 eV per atom